Material: Ba2NiAuO4
Method: DFT, GGA+U
State: optimized geometry

Structure (POSCAR):
```
Ba2NiAuO4
1.0
-2.767 -3.026 -3.738
1.988 -3.186 4.085
-3.327 3.717 2.430
O Ba Ni Au
4 2 1 1
Direct
0.434 0.954 0.868
0.914 0.480 0.046
0.566 0.434 0.520
0.086 0.132 0.566
0.500 0.750 0.250
0.000 0.000 0.000
0.500 0.250 0.750
0.000 0.500 0.500
```

Summary:
**Total magnetic moment**: 1.00 Bohr magnetons per cell
**SG**: No. 82
**Raw total energy**: -4.91 eV/atom